A plane-wave DFT calculation with GGA+U was carried out for Na5Mn2P2C2O14 after structural relaxation.

Cell: 9.0584 6.6643 10.5778 Å, 90.00 90.44 90.00°
Closest atoms and distances in Å follow each position.
Space group P2_1/m (No. 11)
One atom of each set of equivalent atoms:
Na1 0.0785 0.2500 0.1162 x2  6 O 2.42-2.60
Na2 0.2279 0.5016 0.3905 x4  5 O 2.29-2.55
Na3 0.2607 0.0088 0.8708 x4  4 O 2.31-2.45
Mn1 0.3533 0.7500 0.1116 x2  5 O 2.06-2.20
Mn2 0.3651 0.7500 0.6110 x2  5 O 2.03-2.18
P1 0.4152 0.2500 0.1497 x2  4 O 1.54-1.57
P2 0.4287 0.2500 0.6486 x2  4 O 1.55-1.58
C1 0.0626 0.7500 0.1285 x2  3 O 1.28-1.33
C2 0.0767 0.7500 0.6474 x2  3 O 1.28-1.31
O1 0.0641 0.2500 0.3447 x2  1 C 1.28
O2 0.0788 0.2500 0.8814 x2  1 C 1.28
O3 0.1357 0.7500 0.2335 x2  1 C 1.29
O4 0.1403 0.7500 0.0226 x2  1 C 1.33
O5 0.1449 0.7500 0.5388 x2  1 C 1.31
O6 0.1600 0.7500 0.7483 x2  1 C 1.30
O7 0.3205 0.0646 0.1112 x4  1 P 1.56
O8 0.3392 0.0614 0.6087 x4  1 P 1.55
O9 0.4153 0.7500 0.4102 x2  1 P 1.55
O10 0.4329 0.7500 0.9154 x2  1 P 1.54
O11 0.4371 0.2500 0.2973 x2  1 P 1.57
O12 0.4453 0.2500 0.7972 x2  1 P 1.58

## Properties
Energy   -168.93 eV per formula unit
ρ   2.8 g/cm3
Magnetization   9.00 μB/f.u.
Density of states at the Fermi level   3.963 states/eV/f.u.